Here is a geometry-optimized HgICl2 structure from the Alexandria database. Energies are from PBE.

It has space group R-3m (No. 166, hexagonal axes), with a = 4.5648 Å, b = 4.5648 Å, c = 24.7008 Å, α = 90.00°, β = 90.00° and γ = 120.00°. The inequivalent atoms are Hg at (0.0000, 0.0000, 0.0000), I at (0.0000, 0.0000, 0.5000) and Cl at (0.0000, 0.0000, 0.3950).

The value obtained for the energy relative to the elements, uncorrected is -0.1420 eV per atom.